A relaxed PrHo2Cd3 crystal, computed with PBE.

- Offset from the most stable computed form: 2 meV/atom
- Fermi-level density of states: 14.022 states/eV per cell
- V: 27.04 Å³/atom

The structure in CIF format:
```
data_PrHo2Cd3
_space_group_name_H-M_alt 'P 1'
_space_group_IT_number 1
_space_group_name_Hall 'P 1'
_cell_length_a 5.300
_cell_length_b 8.402
_cell_length_c 7.677
_cell_angle_alpha 90.00
_cell_angle_beta 90.00
_cell_angle_gamma 71.61
loop_
_atom_site_label
_atom_site_type_symbol
_atom_site_fract_x
_atom_site_fract_y
_atom_site_fract_z
Ho1 Ho 0.000 0.000 0.000
Ho2 Ho 0.669 0.661 0.500
Cd1 Cd 0.500 0.000 0.736
Cd2 Cd 0.163 0.674 0.736
Ho3 Ho 0.331 0.339 0.500
Cd3 Cd 0.837 0.326 0.264
Cd4 Cd 0.500 0.000 0.264
Pr1 Pr 0.665 0.669 0.000
Cd5 Cd 0.163 0.674 0.264
Cd6 Cd 0.837 0.326 0.736
Pr2 Pr 0.335 0.331 0.000
Ho4 Ho 0.000 0.000 0.500
```